1.
A plane-wave DFT calculation with PBE-GGA was carried out for a relaxed Na2YTlO4 crystal.

abc: 5.8672 3.4266 5.9850
angles: 90.00 109.50 90.00
Last column: nearest neighbours and their distance in Å.
Element x y z (fractional)
Na 0.0000 0.0000 0.0000  6 O 2.48-2.51
Na 0.5000 0.5000 0.0000  6 O 2.52-2.55
Y 0.0000 0.5000 0.5000  6 O 2.30-2.33
Tl 0.5000 0.0000 0.5000  6 O 2.34-2.37
O 0.2298 0.0000 0.7194  2 Y 2.30, 1 Tl 2.37, 3 Na 2.48-2.55
O 0.2574 0.5000 0.2764  1 Y 2.33, 2 Tl 2.34, 3 Na 2.51-2.52
O 0.7426 0.5000 0.7236  1 Y 2.33, 2 Tl 2.34, 3 Na 2.51-2.52
O 0.7702 0.0000 0.2806  2 Y 2.30, 1 Tl 2.37, 3 Na 2.48-2.55

---

2.
A plane-wave DFT calculation with PBE-GGA was carried out for a relaxed NaYMnZn2 crystal.

abc: 4.7853 4.7853 4.9042
angles: 90.00 90.00 90.00
Last column: nearest neighbours and their distance in Å.
Element x y z (fractional)
Na 0.0000 0.0000 0.0000  2 Mn 2.45
Y 0.5000 0.5000 0.0000  4 Na 3.38, 8 Zn 3.43
Mn 0.0000 0.0000 0.5000  4 Zn 2.39, 2 Na 2.45
Zn 0.0000 0.5000 0.5000  2 Mn 2.39
Zn 0.5000 0.0000 0.5000  2 Mn 2.39

Properties
Density of states at the Fermi level   4.8 states/eV per cell

---

3.
A plane-wave DFT calculation with PBE-GGA was carried out for a relaxed Cd2GaCu crystal.

abc: 9.9035 9.9035 9.9035
angles: 155.73 155.73 34.58
Last column: nearest neighbours and their distance in Å.
Element x y z (fractional)
Cd 0.1146 0.6250 0.9896  2 Cu 2.77, 2 Ga 2.80, 4 Cd 2.88-3.01
Cd 0.3750 0.3646 0.4896  2 Cu 2.77, 2 Ga 2.80, 4 Cd 2.88-3.01
Cd 0.6354 0.1250 0.0104  2 Cu 2.77, 2 Ga 2.80, 4 Cd 2.88-3.01
Cd 0.8750 0.8854 0.5104  2 Cu 2.77, 2 Ga 2.80, 4 Cd 2.88-3.01
Ga 0.2500 0.7500 0.5000  4 Cd 2.80, 4 Cu 2.94
Ga 0.5000 0.5000 0.0000  4 Cd 2.80, 4 Cu 2.94
Cu 0.0000 0.0000 0.0000  4 Cd 2.77, 4 Ga 2.94
Cu 0.7500 0.2500 0.5000  4 Cd 2.77, 4 Ga 2.94

Properties
Density of states at the Fermi level   3.3 states/eV per cell

---

Calculated values (μB/cell) of size of the total moment for the records, taken in order: 0.0; 2.8; 0.0.
Calculated values (eV/atom) of E_tot for the records, taken in order: -5.8188; -3.4448; -2.0380.